AcPtNO | PBE | optimized geometry

Cell: 5.245 5.245 4.701 Å, 90.00 90.00 90.00°
Element x y z (fractional)
Ac: 0.250 0.750 0.000
Ac: 0.750 0.250 0.000
Pt: 0.250 0.250 0.500
Pt: 0.750 0.750 0.500
N: 0.250 0.250 0.011
N: 0.750 0.750 0.989
O: 0.250 0.750 0.500
O: 0.750 0.250 0.500

Results
As for the symmetry: No. 129. The offset from the most stable computed form comes out at 649 meV/atom. Its total magnetization is 0.1 μB/f.u. Its volume is 16.17 Å³/atom.